First-principles (PBE) data for a relaxed Pm12PrEr7 crystal, as listed in the Alexandria database.

Cell lengths 9.9863, 9.9863, 9.9863 Å; angles 109.47, 109.47, 109.47 degrees
Element x y z (fractional)
Pm1 0.4893 0.7437 0.7455
Pm2 0.9982 0.7437 0.2545
Pm3 0.5107 0.2563 0.2545
Pm4 0.0018 0.2563 0.7455
Pm5 0.7455 0.0018 0.2563
Pm6 0.7455 0.4893 0.7437
Pm7 0.2545 0.9982 0.7437
Pm8 0.2545 0.5107 0.2563
Pm9 0.7437 0.7455 0.4893
Pm10 0.2563 0.2545 0.5107
Pm11 0.7437 0.2545 0.9982
Pm12 0.2563 0.7455 0.0018
Pr1 0.0000 0.0000 0.0000
Er1 0.5000 0.5000 0.0000
Er2 0.0000 0.5000 0.5000
Er3 0.5000 0.0000 0.5000
Er4 0.5000 0.5000 0.5000
Er5 0.0000 0.0000 0.5000
Er6 0.5000 0.0000 0.0000
Er7 0.0000 0.5000 0.0000

The mass density is 6.61 Mg/m³. As for the energy relative to the elements: 678 meV per atom.



First-principles (PBE) data for a relaxed PmPr4Er2 crystal, as listed in the Alexandria database.

Cell lengths 12.6867, 12.6867, 6.8824 Å; angles 96.99, 96.99, 150.26 degrees
Element x y z (fractional)
Pm1 0.4217 0.6720 0.4996
Pm2 0.6720 0.4217 0.9996
Pr1 0.7164 0.1787 0.8690
Pr2 0.1787 0.7164 0.3690
Pr3 0.1865 0.7937 0.9014
Pr4 0.7937 0.1865 0.4014
Pr5 0.0348 0.1426 0.5994
Pr6 0.5598 0.5968 0.1316
Pr7 0.5968 0.5598 0.6316
Pr8 0.1426 0.0348 0.0994
Er1 0.6233 0.3068 0.4504
Er2 0.9225 0.1055 0.0500
Er3 0.1055 0.9225 0.5500
Er4 0.3068 0.6233 0.9504

The mass density is 7.16 Mg/m³. As for the energy relative to the elements: 64 meV per atom.



First-principles (PBE) data for a relaxed Pm4PrEr crystal, as listed in the Alexandria database.

Cell lengths 6.6875, 6.6875, 6.6875 Å; angles 60.00, 60.00, 60.00 degrees
Element x y z (fractional)
Pr1 0.2500 0.2500 0.2500
Pm1 0.6257 0.6257 0.1228
Pm2 0.6257 0.1228 0.6257
Pm3 0.6257 0.6257 0.6257
Pm4 0.1228 0.6257 0.6257
Er1 0.0000 0.0000 0.0000

The mass density is 6.97 Mg/m³. As for the energy relative to the elements: 256 meV per atom.



First-principles (PBE) data for a relaxed PmPr3Er12 crystal, as listed in the Alexandria database.

Cell lengths 5.0258, 5.0258, 20.1110 Å; angles 90.00, 90.00, 90.00 degrees
Element x y z (fractional)
Pm1 0.0000 0.0000 0.0000
Pr1 0.0000 0.0000 0.2497
Pr2 0.0000 0.0000 0.5000
Pr3 0.0000 0.0000 0.7503
Er1 0.5000 0.5000 0.0000
Er2 0.5000 0.5000 0.2494
Er3 0.5000 0.5000 0.5000
Er4 0.5000 0.5000 0.7506
Er5 0.5000 0.0000 0.1242
Er6 0.5000 0.0000 0.3748
Er7 0.5000 0.0000 0.6252
Er8 0.5000 0.0000 0.8758
Er9 0.0000 0.5000 0.1242
Er10 0.0000 0.5000 0.3748
Er11 0.0000 0.5000 0.6252
Er12 0.0000 0.5000 0.8758

The mass density is 8.42 Mg/m³. As for the energy relative to the elements: 26 meV per atom.



First-principles (PBE) data for a relaxed Pm2Pr2Er crystal, as listed in the Alexandria database.

Cell lengths 5.8630, 6.3876, 9.7893 Å; angles 109.05, 90.00, 90.00 degrees
Element x y z (fractional)
Pm1 0.7457 0.8649 0.3978
Pm2 0.2457 0.9342 0.2006
Pm3 0.2457 0.1351 0.6022
Pm4 0.7457 0.0658 0.7994
Pr1 0.2457 0.3329 0.0012
Pr2 0.7457 0.4692 0.6013
Pr3 0.2457 0.5308 0.3987
Pr4 0.7457 0.6671 0.9988
Er1 0.7457 0.2626 0.1994
Er2 0.2457 0.7374 0.8006

The mass density is 7.08 Mg/m³. As for the energy relative to the elements: 26 meV per atom.



First-principles (PBE) data for a relaxed PmPr2Er8 crystal, as listed in the Alexandria database.

Cell lengths 5.8956, 9.0485, 9.1967 Å; angles 60.53, 74.50, 57.11 degrees
Element x y z (fractional)
Pm1 0.5000 0.0000 0.0000
Pr1 0.0000 0.3061 0.3878
Pr2 0.0000 0.6939 0.6122
Er1 0.8271 0.0982 0.2321
Er2 0.8271 0.3303 0.7679
Er3 0.2962 0.4298 0.0000
Er4 0.5000 0.7914 0.4171
Er5 0.5000 0.2086 0.5829
Er6 0.7038 0.5702 0.0000
Er7 0.1729 0.6697 0.2321
Er8 0.1729 0.9018 0.7679

The mass density is 8.17 Mg/m³. As for the energy relative to the elements: 160 meV per atom.



First-principles (PBE) data for a relaxed Pm6PrEr crystal, as listed in the Alexandria database.

Cell lengths 5.1459, 5.1459, 10.2876 Å; angles 90.00, 90.00, 90.00 degrees
Element x y z (fractional)
Pm1 0.5000 0.5000 0.0000
Pm2 0.5000 0.5000 0.5000
Pm3 0.5000 0.0000 0.2532
Pm4 0.5000 0.0000 0.7468
Pm5 0.0000 0.5000 0.2532
Pm6 0.0000 0.5000 0.7468
Pr1 0.0000 0.0000 0.0000
Er1 0.0000 0.0000 0.5000

The mass density is 7.18 Mg/m³. As for the energy relative to the elements: 18 meV per atom.



First-principles (PBE) data for a relaxed PmPr2Er6 crystal, as listed in the Alexandria database.

Cell lengths 5.0652, 10.6937, 10.6915 Å; angles 90.00, 90.00, 90.00 degrees
Element x y z (fractional)
Pm1 0.5000 0.5000 0.0000
Pm2 0.0000 0.0000 0.5000
Pr1 0.0001 0.3327 0.8327
Pr2 0.4999 0.8327 0.6674
Pr3 0.5001 0.1673 0.3326
Pr4 0.9999 0.6673 0.1673
Er1 0.0000 0.0011 0.1645
Er2 0.9999 0.6646 0.5012
Er3 0.9999 0.6676 0.8325
Er4 0.5001 0.1677 0.6676
Er5 0.5001 0.1646 0.9988
Er6 0.5000 0.5011 0.3354
Er7 0.0000 0.9989 0.8355
Er8 0.0001 0.3354 0.4988
Er9 0.0001 0.3324 0.1675
Er10 0.4999 0.8323 0.3324
Er11 0.4999 0.8354 0.0012
Er12 0.5000 0.4989 0.6646

The mass density is 8.20 Mg/m³. As for the energy relative to the elements: 26 meV per atom.



First-principles (PBE) data for a relaxed Pm4Pr3Er crystal, as listed in the Alexandria database.

Cell lengths 3.5080, 6.2837, 12.9436 Å; angles 95.06, 97.79, 90.00 degrees
Element x y z (fractional)
Pr1 0.0000 0.5000 0.0000
Pr2 0.1443 0.7551 0.2885
Pr3 0.8557 0.2449 0.7115
Er1 0.5000 0.0000 0.0000
Pm1 0.7213 0.2376 0.4426
Pm2 0.2787 0.7624 0.5574
Pm3 0.1056 0.2403 0.2111
Pm4 0.8944 0.7597 0.7889

The mass density is 6.90 Mg/m³. As for the energy relative to the elements: 205 meV per atom.



First-principles (PBE) data for a relaxed Pm4Pr11Er9 crystal, as listed in the Alexandria database.

Cell lengths 3.7201, 15.4490, 15.4490 Å; angles 113.06, 90.00, 90.00 degrees
Element x y z (fractional)
Pm1 0.5000 0.5552 0.7569
Pm2 0.5000 0.4448 0.2431
Pm3 0.5000 0.7569 0.5552
Pm4 0.5000 0.2431 0.4448
Pr1 0.0000 0.5943 0.9566
Pr2 0.0000 0.4057 0.0434
Pr3 0.0000 0.9566 0.5943
Pr4 0.0000 0.0434 0.4057
Pr5 0.0000 0.6332 0.3668
Pr6 0.0000 0.3668 0.6332
Pr7 0.0000 0.8402 0.1598
Pr8 0.0000 0.1598 0.8402
Pr9 0.0000 0.0000 0.0000
Pr10 0.0000 0.7104 0.7104
Pr11 0.0000 0.2896 0.2896
Er1 0.5000 0.6333 0.1645
Er2 0.5000 0.3667 0.8355
Er3 0.5000 0.1645 0.6333
Er4 0.5000 0.8355 0.3667
Er5 0.5000 0.7885 0.9346
Er6 0.5000 0.2115 0.0654
Er7 0.5000 0.9346 0.7885
Er8 0.5000 0.0654 0.2115
Er9 0.5000 0.5000 0.5000

The mass density is 7.39 Mg/m³. As for the energy relative to the elements: 63 meV per atom.



First-principles (PBE) data for a relaxed Pm12Pr2Er crystal, as listed in the Alexandria database.

Cell lengths 6.5759, 6.5759, 25.4204 Å; angles 90.00, 90.00, 90.00 degrees
Element x y z (fractional)
Pm1 0.5000 0.5000 0.7860
Pm2 0.0000 0.0000 0.7860
Pm3 0.8139 0.6861 0.8871
Pm4 0.3139 0.8139 0.8871
Pm5 0.0000 0.0000 0.3380
Pm6 0.1861 0.6861 0.1129
Pm7 0.8326 0.3326 0.5618
Pm8 0.5000 0.5000 0.3380
Pm9 0.1861 0.3139 0.8871
Pm10 0.6861 0.8139 0.1129
Pm11 0.3326 0.1674 0.5618
Pm12 0.6674 0.1674 0.4382
Pm13 0.0000 0.0000 0.6620
Pm14 0.1674 0.3326 0.4382
Pm15 0.3139 0.1861 0.1129
Pm16 0.8326 0.6674 0.4382
Pm17 0.6674 0.8326 0.5618
Pm18 0.0000 0.0000 0.2140
Pm19 0.1674 0.6674 0.5618
Pm20 0.5000 0.5000 0.6620
Pm21 0.6861 0.1861 0.8871
Pm22 0.5000 0.5000 0.2140
Pm23 0.3326 0.8326 0.4382
Pm24 0.8139 0.3139 0.1129
Pr1 0.5000 0.0000 0.2669
Pr2 0.0000 0.5000 0.2669
Pr3 0.0000 0.5000 0.7331
Pr4 0.5000 0.0000 0.7331
Er1 0.5000 0.0000 0.0000
Er2 0.0000 0.5000 0.0000

The mass density is 6.61 Mg/m³. As for the energy relative to the elements: 311 meV per atom.



First-principles (PBE) data for a relaxed Pm3Pr4Er5 crystal, as listed in the Alexandria database.

Cell lengths 6.0018, 8.6241, 9.7502 Å; angles 105.27, 72.07, 69.64 degrees
Last column: magnetic moment on the atom in μB.
Element x y z (fractional)
Pm1 0.5256 0.6874 0.2614  0.00
Pm2 0.0000 0.5000 0.5000  0.05
Pm3 0.4744 0.3126 0.7386  0.00
Pr1 0.8620 0.2237 0.0523  0.00
Pr2 0.1730 0.0390 0.6151  0.00
Pr3 0.8270 0.9610 0.3849  0.00
Pr4 0.1380 0.7763 0.9477  0.00
Er1 0.6291 0.9406 0.8011  0.00
Er2 0.5000 0.5000 0.5000  0.07
Er3 0.2117 0.4586 0.1181  0.00
Er4 0.7883 0.5414 0.8819  0.00
Er5 0.3709 0.0594 0.1989  0.00

The mass density is 7.44 Mg/m³. As for the energy relative to the elements: 218 meV per atom.



First-principles (PBE) data for a relaxed Pm9PrEr2 crystal, as listed in the Alexandria database.

Cell lengths 5.1329, 5.1329, 15.4010 Å; angles 90.00, 90.00, 90.00 degrees
Element x y z (fractional)
Pm1 0.5000 0.5000 0.0000
Pm2 0.5000 0.5000 0.3358
Pm3 0.5000 0.5000 0.6642
Pm4 0.5000 0.0000 0.1697
Pm5 0.5000 0.0000 0.5000
Pm6 0.5000 0.0000 0.8303
Pm7 0.0000 0.5000 0.1697
Pm8 0.0000 0.5000 0.5000
Pm9 0.0000 0.5000 0.8303
Pr1 0.0000 0.0000 0.0000
Er1 0.0000 0.0000 0.3351
Er2 0.0000 0.0000 0.6649

The mass density is 7.29 Mg/m³. As for the energy relative to the elements: 18 meV per atom.



First-principles (PBE) data for a relaxed Pm4PrEr3 crystal, as listed in the Alexandria database.

Cell lengths 5.7555, 3.6124, 13.3283 Å; angles 89.92, 102.47, 90.00 degrees
Element x y z (fractional)
Pr1 0.5000 0.0000 0.0000
Er1 0.0000 0.5000 0.0000
Er2 0.8480 0.9997 0.6961
Er3 0.1520 0.0003 0.3039
Pm1 0.6057 0.4992 0.2114
Pm2 0.3943 0.5008 0.7886
Pm3 0.2750 0.4978 0.5501
Pm4 0.7250 0.5022 0.4499

The mass density is 7.50 Mg/m³. As for the energy relative to the elements: 219 meV per atom.



First-principles (PBE) data for a relaxed Pm2Pr6Er5 crystal, as listed in the Alexandria database.

Cell lengths 3.6572, 11.8464, 20.6245 Å; angles 90.00, 90.00, 90.00 degrees
Element x y z (fractional)
Pm1 0.0000 0.3344 0.2862
Pm2 0.0000 0.6656 0.7138
Pm3 0.0000 0.8344 0.2138
Pm4 0.0000 0.1656 0.7862
Pr1 0.0000 0.0815 0.3658
Pr2 0.0000 0.9185 0.6342
Pr3 0.0000 0.5815 0.1342
Pr4 0.0000 0.4185 0.8658
Pr5 0.5000 0.3239 0.1287
Pr6 0.5000 0.6761 0.8713
Pr7 0.5000 0.8239 0.3713
Pr8 0.5000 0.1761 0.6287
Pr9 0.0000 0.5586 0.4217
Pr10 0.0000 0.4414 0.5783
Pr11 0.0000 0.0586 0.0783
Pr12 0.0000 0.9414 0.9217
Er1 0.5000 0.3006 0.4440
Er2 0.5000 0.6994 0.5560
Er3 0.5000 0.8006 0.0560
Er4 0.5000 0.1994 0.9440
Er5 0.5000 0.5944 0.2760
Er6 0.5000 0.4056 0.7240
Er7 0.5000 0.0944 0.2240
Er8 0.5000 0.9056 0.7760
Er9 0.5000 0.5000 0.0000
Er10 0.5000 0.0000 0.5000

The mass density is 7.33 Mg/m³. As for the energy relative to the elements: 104 meV per atom.



First-principles (PBE) data for a relaxed Pm2Pr3Er7 crystal, as listed in the Alexandria database.

Cell lengths 3.5552, 6.3884, 17.3661 Å; angles 89.91, 90.00, 90.00 degrees
Element x y z (fractional)
Pm1 0.5000 0.5039 0.3246
Pm2 0.5000 0.4961 0.6754
Pr1 0.5000 0.5000 0.0000
Pr2 0.0000 0.9973 0.3393
Pr3 0.0000 0.0027 0.6607
Er1 0.5000 0.2465 0.5013
Er2 0.5000 0.7535 0.4987
Er3 0.0000 0.6744 0.1636
Er4 0.0000 0.0000 0.0000
Er5 0.0000 0.3256 0.8364
Er6 0.5000 0.8286 0.8359
Er7 0.5000 0.1714 0.1641

The mass density is 7.93 Mg/m³. As for the energy relative to the elements: 83 meV per atom.



First-principles (PBE) data for a relaxed Pm5Pr12Er crystal, as listed in the Alexandria database.

Cell lengths 12.1944, 10.6569, 5.9696 Å; angles 90.00, 89.99, 55.10 degrees
Element x y z (fractional)
Pm1 0.5000 0.0000 0.5000
Pm2 0.1349 0.7301 0.5000
Pm3 0.8651 0.2699 0.5000
Pm4 0.6368 0.7265 0.0000
Pm5 0.3632 0.2735 0.0000
Pr1 0.8030 0.0000 0.4437
Pr2 0.1970 0.0000 0.5563
Pr3 0.7014 0.0000 0.9423
Pr4 0.2986 0.0000 0.0577
Pr5 0.3303 0.6432 0.9915
Pr6 0.0265 0.6432 0.0085
Pr7 0.9735 0.3568 0.9915
Pr8 0.6697 0.3568 0.0085
Pr9 0.4730 0.3575 0.5088
Pr10 0.8305 0.6425 0.5088
Pr11 0.1695 0.3575 0.4912
Pr12 0.5270 0.6425 0.4912
Er1 0.0000 0.0000 0.0000

The mass density is 6.74 Mg/m³. As for the energy relative to the elements: 74 meV per atom.



First-principles (PBE) data for a relaxed Pm9Pr2Er crystal, as listed in the Alexandria database.

Cell lengths 5.1558, 5.1558, 15.4740 Å; angles 90.00, 90.00, 90.00 degrees
Element x y z (fractional)
Pm1 0.5000 0.5000 0.0000
Pm2 0.5000 0.5000 0.3318
Pm3 0.5000 0.5000 0.6682
Pm4 0.5000 0.0000 0.1638
Pm5 0.5000 0.0000 0.5000
Pm6 0.5000 0.0000 0.8362
Pm7 0.0000 0.5000 0.1638
Pm8 0.0000 0.5000 0.5000
Pm9 0.0000 0.5000 0.8362
Pr1 0.0000 0.0000 0.3316
Pr2 0.0000 0.0000 0.6684
Er1 0.0000 0.0000 0.0000

The mass density is 7.08 Mg/m³. As for the energy relative to the elements: 17 meV per atom.